1.
TaAlGe: optimized geometry, PBE.

a b c (Å): 5.2001 5.2001 5.7247
angles (deg): 101.87 101.87 41.80
Closest atoms and distances in Å follow each position.
Atoms (fractional coordinates):
1 Ta 0.0000 0.0000 0.0000  4 Ge 2.70-2.77, 5 Al 2.80-2.99, 2 Ta 2.90
2 Ta 0.6723 0.6723 0.7990  5 Ge 2.74-3.03, 4 Al 2.88-2.89, 2 Ta 2.90
3 Al 0.3146 0.3146 0.1583  5 Ge 2.81-3.04, 5 Ta 2.87-2.99, 2 Al 2.92
4 Al 0.9932 0.9932 0.4862  4 Ge 2.64-2.66, 4 Ta 2.80-2.93, 2 Al 2.92
5 Ge 0.3553 0.3553 0.6779  4 Al 2.66-2.91, 4 Ta 2.76-2.77
6 Ge 0.6350 0.6350 0.3107  4 Al 2.64-2.81, 3 Ta 2.70-2.74

Calculated formation energy: -0.14 eV/atom
Magnetic moment: 0.00 μB/f.u.
Symmetry: No. 8
Raw total energy: -6.88 eV/atom
Density: 9257 kg/m3
DOS at the Fermi energy: 1.17 states/eV/f.u.


2.
TaAlGe: optimized geometry, PBE.

a b c (Å): 4.9970 4.9970 6.3861
angles (deg): 103.13 103.13 41.03
Closest atoms and distances in Å follow each position.
Atoms (fractional coordinates):
1 Ta 0.1674 0.1674 0.1209  5 Ge 2.72-2.77, 3 Al 2.85-2.87, 2 Ta 3.00
2 Ta 0.8326 0.8326 0.8791  5 Ge 2.72-2.77, 3 Al 2.85-2.87, 2 Ta 3.00
3 Al 0.1587 0.1587 0.5669  2 Ge 2.72, 3 Al 2.73-2.88, 3 Ta 2.85-2.87
4 Al 0.8413 0.8413 0.4331  2 Ge 2.72, 3 Al 2.73-2.88, 3 Ta 2.85-2.87
5 Ge 0.4664 0.4664 0.2043  5 Ta 2.72-2.77, 2 Al 2.72, 1 Ge 2.83
6 Ge 0.5336 0.5336 0.7957  5 Ta 2.72-2.77, 2 Al 2.72, 1 Ge 2.83

Calculated formation energy: -0.17 eV/atom
Magnetic moment: 0.00 μB/f.u.
Symmetry: No. 12
Raw total energy: -6.90 eV/atom
Density: 9175 kg/m3
DOS at the Fermi energy: 0.96 states/eV/f.u.


3.
TaAlGe: optimized geometry, PBE.

a b c (Å): 6.2312 5.1662 5.0079
angles (deg): 75.52 53.39 51.09
Closest atoms and distances in Å follow each position.
Atoms (fractional coordinates):
1 Ta 0.0000 0.0000 0.0000  4 Al 2.68, 6 Ge 2.90-2.91
2 Ta 0.2500 0.2500 0.2500  4 Ge 2.69, 6 Al 2.88-2.92
3 Al 0.5832 0.9168 0.5832  2 Ge 2.68, 5 Ta 2.68-2.92, 3 Al 2.88-2.92
4 Al 0.9168 0.5832 0.9168  2 Ge 2.68, 5 Ta 2.68-2.92, 3 Al 2.88-2.92
5 Ge 0.3357 0.6643 0.3357  2 Al 2.68, 5 Ta 2.69-2.91, 3 Ge 2.83-2.94
6 Ge 0.6643 0.3357 0.6643  2 Al 2.68, 5 Ta 2.69-2.91, 3 Ge 2.83-2.94

Calculated formation energy: -0.26 eV/atom
Magnetic moment: 0.00 μB/f.u.
Symmetry: No. 22
Raw total energy: -7.00 eV/atom
Density: 9443 kg/m3
DOS at the Fermi energy: 0.81 states/eV/f.u.